Compound: SiBi2Br
Source: the Alexandria database
Functional: PBE
Structure: optimized geometry

```
SiBi2Br
1.0
-3.705 3.705 5.439
3.705 -3.705 5.439
3.705 3.705 -5.439
Si Bi Br
2 4 2
direct
0.000 0.000 0.000
0.750 0.250 0.500
0.079 0.625 0.954
0.375 0.329 0.454
0.671 0.125 0.046
0.875 0.921 0.546
0.250 0.750 0.500
0.500 0.500 0.000
```

Results
Fermi-level density of states = 2.3 states/eV/f.u.
formation energy from raw total energies = 25.1 kJ/mol of atoms
E above lowest polymorph = 0.000 eV/f.u.
M_tot = 0.00 μB/cell
SG = I-42d
total energy = -0.12696 Ha/atom